# CdSi2F8

A geometry-optimized CdSi2F8 structure (PBE, Alexandria via LeMat-Bulk).

a = 5.5766 Å, b = 6.7232 Å, c = 6.7232 Å
α = 77.95°, β = 79.81°, γ = 79.81°
Positions (direct):
Cd 0.0000 0.0000 0.0000
Si 0.6067 0.7406 0.7406
Si 0.3933 0.2594 0.2594
F 0.3968 0.3211 0.0179
F 0.6032 0.9821 0.6789
F 0.3738 0.6782 0.6782
F 0.6262 0.3218 0.3218
F 0.3968 0.0179 0.3211
F 0.6032 0.6789 0.9821
F 0.8492 0.6281 0.6281
F 0.1508 0.3719 0.3719

Results
Symmetry ... C2/m, No. 12
DOS at the Fermi energy ... 0.00 states/eV/f.u.
Formation energy without anion corrections ... -2.7549 eV per atom

=====

# NdEuSe

A geometry-optimized NdEuSe structure (PBE, Alexandria via LeMat-Bulk).

a = 4.0735 Å, b = 4.0735 Å, c = 6.9112 Å
α = 90.00°, β = 90.00°, γ = 120.00°
Positions (direct):
Eu 0.0000 0.0000 0.0632
Nd 0.3333 0.6667 0.6005
Se 0.6667 0.3333 0.3363

Results
Symmetry ... P3m1, No. 156
DOS at the Fermi energy ... 6.14 states/eV/f.u.
Formation energy without anion corrections ... -1.1442 eV per atom

=====

# CsRbVTe3

A geometry-optimized CsRbVTe3 structure (PBE, Alexandria via LeMat-Bulk).

a = 7.6066 Å, b = 7.6066 Å, c = 9.6178 Å
α = 75.38°, β = 75.38°, γ = 70.35°
Positions (direct):
Cs 0.6743 0.6743 0.7872
Cs 0.3257 0.3257 0.2128
Rb 0.2454 0.7546 0.5000
Rb 0.7546 0.2454 0.5000
V 0.0395 0.0395 0.8686
V 0.9605 0.9605 0.1314
Te 0.2248 0.2248 0.6472
Te 0.1214 0.6844 0.8951
Te 0.6844 0.1214 0.8951
Te 0.3156 0.8786 0.1049
Te 0.8786 0.3156 0.1049
Te 0.7752 0.7752 0.3528

Results
Symmetry ... C2/m, No. 12
Formation energy without anion corrections ... -0.5501 eV per atom

=====

# CeNdAgBi

A geometry-optimized CeNdAgBi structure (PBE, Alexandria via LeMat-Bulk).

a = 5.4651 Å, b = 5.4651 Å, c = 5.4651 Å
α = 60.00°, β = 60.00°, γ = 60.00°
Positions (direct):
Ag 0.2500 0.2500 0.2500
Nd 0.5000 0.5000 0.5000
Bi 0.7500 0.7500 0.7500
Ce 0.0000 0.0000 0.0000

Results
Symmetry ... F-43m, No. 216
DOS at the Fermi energy ... 10.73 states/eV/f.u.
Formation enthalpy at 0 K ... -413 meV per atom

=====

# LaMn

A geometry-optimized LaMn structure (PBE, Alexandria via LeMat-Bulk).

a = 9.6450 Å, b = 9.6450 Å, c = 3.8063 Å
α = 90.00°, β = 90.00°, γ = 90.00°
Positions (direct):
La 0.6859 0.6259 0.0000
La 0.1859 0.8741 0.5000
La 0.8141 0.1259 0.5000
La 0.3141 0.3741 0.0000
La 0.8741 0.8141 0.5000
La 0.3741 0.6859 0.0000
La 0.6259 0.3141 0.0000
La 0.1259 0.1859 0.5000
Mn 0.9646 0.3873 0.0000
Mn 0.4646 0.1127 0.5000
Mn 0.5354 0.8873 0.5000
Mn 0.0354 0.6127 0.0000
Mn 0.1127 0.5354 0.5000
Mn 0.6127 0.9646 0.0000
Mn 0.3873 0.0354 0.0000
Mn 0.8873 0.4646 0.5000

Results
Symmetry ... P4/mnc, No. 128
DOS at the Fermi energy ... 3.35 states/eV/f.u.
Formation enthalpy at 0 K ... 341 meV per atom

=====

# TlFe2ReHg

A geometry-optimized TlFe2ReHg structure (PBE, Alexandria via LeMat-Bulk).

a = 4.8381 Å, b = 5.1687 Å, c = 4.8381 Å
α = 90.00°, β = 90.00°, γ = 90.00°
Positions (direct):
Re 0.0000 0.5000 0.0000
Tl 0.5000 0.5000 0.5000
Hg 0.0000 0.0000 0.0000
Fe 0.0000 0.0000 0.5000
Fe 0.5000 0.0000 0.0000

Results
Symmetry ... P4/mmm, No. 123
DOS at the Fermi energy ... 7.13 states/eV/f.u.
Formation enthalpy at 0 K ... 1930 meV per atom

=====

# Dy8Tc2Rh

A geometry-optimized Dy8Tc2Rh structure (PBE, Alexandria via LeMat-Bulk).

a = 5.7629 Å, b = 7.6431 Å, c = 7.6431 Å
α = 113.54°, β = 101.15°, γ = 101.15°
Positions (direct):
Dy 0.6001 0.3407 0.0811
Dy 0.6001 0.0811 0.3407
Dy 0.1948 0.3660 0.3660
Dy 0.9989 0.2129 0.7918
Dy 0.9989 0.7918 0.2129
Dy 0.8048 0.6406 0.6406
Dy 0.3975 0.9248 0.6647
Dy 0.3975 0.6647 0.9248
Tc 0.5011 0.6958 0.3120
Tc 0.5011 0.3120 0.6958
Rh 0.0049 0.0034 0.0034

Results
Symmetry ... Cm, No. 8
DOS at the Fermi energy ... 7.41 states/eV/f.u.
Formation enthalpy at 0 K ... -164 meV per atom

=====

# CaTeBr

A geometry-optimized CaTeBr structure (PBE, Alexandria via LeMat-Bulk).

a = 8.1979 Å, b = 8.1979 Å, c = 8.1979 Å
α = 154.68°, β = 154.68°, γ = 36.11°
Positions (direct):
Ca 0.3459 0.3459 0.0000
Te 0.7043 0.7043 0.0000
Br 0.9498 0.9498 0.0000

Results
Symmetry ... I4mm, No. 107
DOS at the Fermi energy ... 0.78 states/eV/f.u.
Formation energy without anion corrections ... -1.2849 eV per atom
Energy relative to the lowest polymorph listed for this composition ... 132.3 meV/atom

=====

# Te2MoAs

A geometry-optimized Te2MoAs structure (PBE, Alexandria via LeMat-Bulk).

a = 9.0348 Å, b = 9.0348 Å, c = 9.0348 Å
α = 21.94°, β = 21.94°, γ = 21.94°
Positions (direct):
Mo 0.7500 0.7500 0.7500
Te 0.0111 0.0111 0.0111
Te 0.4889 0.4889 0.4889
As 0.2500 0.2500 0.2500

Results
Symmetry ... R-3m, No. 166
DOS at the Fermi energy ... 3.64 states/eV/f.u.
Formation energy without anion corrections ... 0.2266 eV per atom

=====

# ScSn3Cl9

A geometry-optimized ScSn3Cl9 structure (PBE, Alexandria via LeMat-Bulk).

a = 8.6607 Å, b = 10.2962 Å, c = 11.4117 Å
α = 69.44°, β = 67.70°, γ = 65.13°
Positions (direct):
Sc 0.0687 0.4945 0.9772
Sc 0.4596 0.9945 0.4772
Sn 0.7461 0.5416 0.7597
Sn 0.9526 0.0416 0.2597
Sn 0.0890 0.9380 0.8509
Sn 0.1221 0.4380 0.3509
Sn 0.5045 0.2382 0.7392
Sn 0.5182 0.7382 0.2392
Cl 0.3809 0.1942 0.2847
Cl 0.1402 0.6942 0.7847
Cl 0.4010 0.3563 0.9434
Cl 0.2993 0.8563 0.4434
Cl 0.1612 0.1294 0.6154
Cl 0.0940 0.6294 0.1154
Cl 0.7521 0.6338 0.9858
Cl 0.6283 0.1338 0.4858
Cl 0.7279 0.8530 0.3397
Cl 0.0795 0.3530 0.8397
Cl 0.5011 0.8263 0.6951
Cl 0.9775 0.3263 0.1951
Cl 0.3869 0.5211 0.3217
Cl 0.7702 0.0211 0.8217
Cl 0.6807 0.4170 0.6040
Cl 0.2984 0.9170 0.1040
Cl 0.8523 0.1141 0.0611
Cl 0.9725 0.6141 0.5611

Results
Symmetry ... Cc, No. 9
DOS at the Fermi energy ... 0.00 states/eV/f.u.
Formation energy without anion corrections ... -1.3052 eV per atom

=====

# PmCdPd6

A geometry-optimized PmCdPd6 structure (PBE, Alexandria via LeMat-Bulk).

a = 5.2358 Å, b = 5.2358 Å, c = 5.2358 Å
α = 90.00°, β = 90.00°, γ = 90.00°
Positions (direct):
Pm 0.5000 0.5000 0.5000
Cd 0.0000 0.0000 0.0000
Pd 0.5000 0.7538 0.0000
Pd 0.7538 0.0000 0.5000
Pd 0.0000 0.5000 0.2462
Pd 0.2462 0.0000 0.5000
Pd 0.5000 0.2462 0.0000
Pd 0.0000 0.5000 0.7538

Results
Symmetry ... Pm-3, No. 200
DOS at the Fermi energy ... 3.43 states/eV/f.u.
Formation enthalpy at 0 K ... -340 meV per atom

=====

# Y6TmTh3

A geometry-optimized Y6TmTh3 structure (PBE, Alexandria via LeMat-Bulk).

a = 3.5213 Å, b = 14.3647 Å, c = 12.9833 Å
α = 87.12°, β = 82.19°, γ = 89.98°
Positions (direct):
Y 0.4616 0.3873 0.5760
Y 0.5384 0.6127 0.4240
Y 0.1888 0.0017 0.1239
Y 0.8112 0.9983 0.8761
Y 0.9797 0.8142 0.5400
Y 0.0203 0.1858 0.4600
Y 0.1119 0.8013 0.2773
Y 0.8881 0.1987 0.7227
Y 0.2893 0.5894 0.9215
Y 0.7107 0.4106 0.0785
Y 0.0887 0.3970 0.3213
Y 0.9113 0.6030 0.6787
Tm 0.2657 0.2131 0.9696
Tm 0.7343 0.7869 0.0304
Th 0.4348 0.0103 0.6316
Th 0.5652 0.9897 0.3684
Th 0.1606 0.6029 0.1795
Th 0.8394 0.3971 0.8205
Th 0.3571 0.8012 0.7831
Th 0.6429 0.1988 0.2169

Results
Symmetry ... P-1, No. 2
DOS at the Fermi energy ... 16.35 states/eV/f.u.
Formation enthalpy at 0 K ... 70 meV per atom
Energy relative to the lowest polymorph listed for this composition ... 0.0 meV/atom

=====

no.,V (Å³ per atom),total energy (eV/atom)
1,21.8,-5.1850
2,33.1,-7.3198
3,41.5,-3.9442
4,28.9,-4.7712
5,22.1,-6.7072
6,24.2,-4.4782
7,26.3,-6.0640
8,33.5,-3.5569
9,22.6,-5.2144
10,32.0,-3.9944
11,17.9,-4.9430
12,32.5,-6.4815